# MgNiHg2 PBE optimized geometry
# - mass density (Mg/m³) = 10.4
# - total moment (μB/f.u.) = 0.00
# - formation enthalpy at 0 K (kJ per mole of atoms) = 14.3
# - volume (Å³/atom) = 19.28
data_MgNiHg2
_cell_length_a 5.2190
_cell_length_b 5.5361
_cell_length_c 3.1856
_cell_angle_alpha 74.02
_cell_angle_beta 88.48
_cell_angle_gamma 117.63
_symmetry_space_group_name_H-M 'P 1'
_symmetry_Int_Tables_number 1
loop_
_symmetry_equiv_pos_as_xyz
'x,y,z'
loop_
_atom_site_label
_atom_site_type_symbol
_atom_site_fract_x
_atom_site_fract_y
_atom_site_fract_z
Hg1 Hg 0.0000 0.0000 0.0000
Hg2 Hg 0.5000 0.0000 0.5000
Mg1 Mg 0.0000 0.5000 0.5000
Ni1 Ni 0.5000 0.5000 0.0000

=====

# MgNiHg2 PBE optimized geometry
# - mass density (Mg/m³) = 11.1
# - total moment (μB/f.u.) = 0.00
# - formation enthalpy at 0 K (kJ per mole of atoms) = 1.2
# - volume (Å³/atom) = 18.13
data_MgNiHg2
_cell_length_a 3.3372
_cell_length_b 3.3372
_cell_length_c 6.5112
_cell_angle_alpha 90.00
_cell_angle_beta 90.00
_cell_angle_gamma 90.00
_symmetry_space_group_name_H-M 'P 1'
_symmetry_Int_Tables_number 1
loop_
_symmetry_equiv_pos_as_xyz
'x,y,z'
loop_
_atom_site_label
_atom_site_type_symbol
_atom_site_fract_x
_atom_site_fract_y
_atom_site_fract_z
Hg1 Hg 0.0000 0.0000 0.9783
Hg2 Hg 0.0000 0.0000 0.5217
Mg1 Mg 0.5000 0.5000 0.2500
Ni1 Ni 0.5000 0.5000 0.7500

=====

# MgNi2Hg PBE optimized geometry
# - mass density (Mg/m³) = 9.2
# - total moment (μB/f.u.) = 0.48
# - formation enthalpy at 0 K (kJ per mole of atoms) = 3.0
# - volume (Å³/atom) = 15.43
data_MgNi2Hg
_cell_length_a 3.0477
_cell_length_b 3.0477
_cell_length_c 6.6435
_cell_angle_alpha 90.00
_cell_angle_beta 90.00
_cell_angle_gamma 90.00
_symmetry_space_group_name_H-M 'P 1'
_symmetry_Int_Tables_number 1
loop_
_symmetry_equiv_pos_as_xyz
'x,y,z'
loop_
_atom_site_label
_atom_site_type_symbol
_atom_site_fract_x
_atom_site_fract_y
_atom_site_fract_z
Hg1 Hg 0.0000 0.0000 0.4676
Mg1 Mg 0.5000 0.5000 0.7954
Ni1 Ni 0.0000 0.0000 0.0318
Ni2 Ni 0.5000 0.5000 0.2052

=====

# MgNi3Hg PBE optimized geometry
# - mass density (Mg/m³) = 7.9
# - total moment (μB/f.u.) = 0.00
# - formation enthalpy at 0 K (kJ per mole of atoms) = 94.3
# - E above lowest polymorph (meV per atom) = 0
# - volume (Å³/atom) = 16.84
data_MgNi3Hg
_cell_length_a 4.3827
_cell_length_b 4.3827
_cell_length_c 4.3827
_cell_angle_alpha 90.00
_cell_angle_beta 90.00
_cell_angle_gamma 90.00
_symmetry_space_group_name_H-M 'P 1'
_symmetry_Int_Tables_number 1
loop_
_symmetry_equiv_pos_as_xyz
'x,y,z'
loop_
_atom_site_label
_atom_site_type_symbol
_atom_site_fract_x
_atom_site_fract_y
_atom_site_fract_z
Ni1 Ni 0.0000 0.5000 0.0000
Ni2 Ni 0.0000 0.0000 0.5000
Ni3 Ni 0.5000 0.0000 0.0000
Mg1 Mg 0.0000 0.0000 0.0000
Hg1 Hg 0.5000 0.5000 0.5000

=====

# PrMgNiHg PBE optimized geometry
# - mass density (Mg/m³) = 8.0
# - total moment (μB/f.u.) = 0.00
# - formation enthalpy at 0 K (kJ per mole of atoms) = -21.6
# - volume (Å³/atom) = 21.99
data_PrMgNiHg
_cell_length_a 4.9916
_cell_length_b 4.9916
_cell_length_c 4.9916
_cell_angle_alpha 60.00
_cell_angle_beta 60.00
_cell_angle_gamma 60.00
_symmetry_space_group_name_H-M 'P 1'
_symmetry_Int_Tables_number 1
loop_
_symmetry_equiv_pos_as_xyz
'x,y,z'
loop_
_atom_site_label
_atom_site_type_symbol
_atom_site_fract_x
_atom_site_fract_y
_atom_site_fract_z
Pr1 Pr 0.0000 0.0000 0.0000
Ni1 Ni 0.2500 0.2500 0.2500
Mg1 Mg 0.5000 0.5000 0.5000
Hg1 Hg 0.7500 0.7500 0.7500

=====

# RbMg2NiHg PBE optimized geometry
# - mass density (Mg/m³) = 4.9
# - total moment (μB/f.u.) = 0.00
# - formation enthalpy at 0 K (kJ per mole of atoms) = 1.2
# - volume (Å³/atom) = 26.90
data_RbMg2NiHg
_cell_length_a 5.0590
_cell_length_b 5.0590
_cell_length_c 5.2549
_cell_angle_alpha 90.00
_cell_angle_beta 90.00
_cell_angle_gamma 90.00
_symmetry_space_group_name_H-M 'P 1'
_symmetry_Int_Tables_number 1
loop_
_symmetry_equiv_pos_as_xyz
'x,y,z'
loop_
_atom_site_label
_atom_site_type_symbol
_atom_site_fract_x
_atom_site_fract_y
_atom_site_fract_z
Ni1 Ni 0.0000 0.0000 0.0000
Mg1 Mg 0.0000 0.5000 0.0000
Mg2 Mg 0.5000 0.0000 0.0000
Hg1 Hg 0.0000 0.0000 0.5000
Rb1 Rb 0.5000 0.5000 0.5000

=====

# MgRe2NiHg PBE optimized geometry
# - mass density (Mg/m³) = 9.1
# - total moment (μB/f.u.) = 5.66
# - formation enthalpy at 0 K (kJ per mole of atoms) = 226.2
# - volume (Å³/atom) = 23.84
data_MgRe2NiHg
_cell_length_a 5.0369
_cell_length_b 4.6990
_cell_length_c 5.0369
_cell_angle_alpha 90.00
_cell_angle_beta 90.00
_cell_angle_gamma 90.00
_symmetry_space_group_name_H-M 'P 1'
_symmetry_Int_Tables_number 1
loop_
_symmetry_equiv_pos_as_xyz
'x,y,z'
loop_
_atom_site_label
_atom_site_type_symbol
_atom_site_fract_x
_atom_site_fract_y
_atom_site_fract_z
Re1 Re 0.0000 0.0000 0.5000
Re2 Re 0.5000 0.0000 0.0000
Mg1 Mg 0.5000 0.5000 0.5000
Hg1 Hg 0.0000 0.0000 0.0000
Ni1 Ni 0.0000 0.5000 0.0000

=====

# Mg5NiHg2Rh2 PBE optimized geometry
# - mass density (Mg/m³) = 7.1
# - total moment (μB/f.u.) = 0.00
# - formation enthalpy at 0 K (kJ per mole of atoms) = -20.1
# - volume (Å³/atom) = 18.53
data_Mg5NiHg2Rh2
_cell_length_a 3.1375
_cell_length_b 10.8674
_cell_length_c 10.8674
_cell_angle_alpha 90.00
_cell_angle_beta 90.00
_cell_angle_gamma 90.00
_symmetry_space_group_name_H-M 'P 1'
_symmetry_Int_Tables_number 1
loop_
_symmetry_equiv_pos_as_xyz
'x,y,z'
loop_
_atom_site_label
_atom_site_type_symbol
_atom_site_fract_x
_atom_site_fract_y
_atom_site_fract_z
Mg1 Mg 0.5000 0.1912 0.0531
Mg2 Mg 0.5000 0.8088 0.9469
Mg3 Mg 0.5000 0.0531 0.8088
Mg4 Mg 0.5000 0.6912 0.4469
Mg5 Mg 0.5000 0.9469 0.1912
Mg6 Mg 0.5000 0.3088 0.5531
Mg7 Mg 0.5000 0.5531 0.6912
Mg8 Mg 0.5000 0.4469 0.3088
Mg9 Mg 0.5000 0.5000 0.0000
Mg10 Mg 0.5000 0.0000 0.5000
Ni1 Ni 0.0000 0.0000 0.0000
Ni2 Ni 0.0000 0.5000 0.5000
Hg1 Hg 0.0000 0.6748 0.1748
Hg2 Hg 0.0000 0.3252 0.8252
Hg3 Hg 0.0000 0.1748 0.3252
Hg4 Hg 0.0000 0.8252 0.6748
Rh1 Rh 0.0000 0.1383 0.6383
Rh2 Rh 0.0000 0.8617 0.3617
Rh3 Rh 0.0000 0.6383 0.8617
Rh4 Rh 0.0000 0.3617 0.1383